Np2CS: optimized geometry, PBE-GGA.

- Formation energy without anion corrections: -0.62 eV/atom
- Size of the total moment: 7.20 μB per formula unit

Lattice parameters (Å, degrees): 3.6938 3.6938 18.6044 90.00 90.00 120.00
Element x y z (fractional)
Np: 0.0000 0.0000 0.2379
Np: 0.0000 0.0000 0.7621
Np: 0.3333 0.6667 0.4288
Np: 0.3333 0.6667 0.9046
Np: 0.6667 0.3333 0.0954
Np: 0.6667 0.3333 0.5712
C: 0.0000 0.0000 0.5000
C: 0.3333 0.6667 0.1667
C: 0.6667 0.3333 0.8333
S: 0.0000 0.0000 0.0000
S: 0.3333 0.6667 0.6667
S: 0.6667 0.3333 0.3333

Dy2SeI2: optimized geometry, PBE-GGA.

- Formation energy without anion corrections: -1.16 eV/atom
- Size of the total moment: 0.00 μB per formula unit

Lattice parameters (Å, degrees): 7.6097 7.6097 8.6506 113.56 113.56 47.48
Element x y z (fractional)
Dy: 0.0168 0.0168 0.2294
Dy: 0.3017 0.3017 0.4163
Dy: 0.6983 0.6983 0.5837
Dy: 0.9832 0.9832 0.7706
Se: 0.1550 0.1550 0.0840
Se: 0.8450 0.8450 0.9160
I: 0.1724 0.1724 0.6328
I: 0.4758 0.4758 0.2497
I: 0.5242 0.5242 0.7503
I: 0.8276 0.8276 0.3672

Cr2Ag: optimized geometry, PBE-GGA.

- Energy relative to the elements: 717 meV/atom
- Size of the total moment: 0.00 μB per formula unit

Lattice parameters (Å, degrees): 2.4994 14.7078 4.4691 90.00 90.00 90.00
Element x y z (fractional)
Cr: 0.0000 0.0478 0.2500
Cr: 0.0000 0.2855 0.7500
Cr: 0.0000 0.7145 0.2500
Cr: 0.0000 0.9522 0.7500
Cr: 0.5000 0.2145 0.2500
Cr: 0.5000 0.4522 0.7500
Cr: 0.5000 0.5478 0.2500
Cr: 0.5000 0.7855 0.7500
Ag: 0.0000 0.3826 0.2500
Ag: 0.0000 0.6174 0.7500
Ag: 0.5000 0.1174 0.7500
Ag: 0.5000 0.8826 0.2500

CaLaCo2: optimized geometry, PBE-GGA.

- Energy relative to the elements: 448 meV/atom
- Size of the total moment: 1.38 μB per formula unit

Lattice parameters (Å, degrees): 3.6102 3.6102 23.4824 90.00 90.00 120.00
Element x y z (fractional)
Ca: 0.0000 0.0000 0.0000
Ca: 0.3333 0.6667 0.6667
Ca: 0.6667 0.3333 0.3333
La: 0.0000 0.0000 0.5000
La: 0.3333 0.6667 0.1667
La: 0.6667 0.3333 0.8333
Co: 0.0000 0.0000 0.2450
Co: 0.0000 0.0000 0.7550
Co: 0.3333 0.6667 0.4217
Co: 0.3333 0.6667 0.9116
Co: 0.6667 0.3333 0.0884
Co: 0.6667 0.3333 0.5783

CuPdPt4: optimized geometry, PBE-GGA.

- Energy relative to the elements: -69 meV/atom
- Size of the total moment: 0.01 μB per formula unit

Lattice parameters (Å, degrees): 2.7812 2.7812 11.6627 90.00 90.00 90.00
Element x y z (fractional)
Cu: 0.0000 0.0000 0.0000
Pd: 0.5000 0.5000 0.5000
Pt: 0.0000 0.0000 0.3289
Pt: 0.0000 0.0000 0.6711
Pt: 0.5000 0.5000 0.1550
Pt: 0.5000 0.5000 0.8450

CaFeTeN2: optimized geometry, PBE-GGA.

- Formation energy without anion corrections: 1.58 eV/atom
- Size of the total moment: 7.97 μB per formula unit

Lattice parameters (Å, degrees): 4.4366 4.4366 6.4571 90.00 90.00 90.00
Element x y z (fractional)
Ca: 0.0000 0.0000 0.0000
Fe: 0.5000 0.5000 0.5000
Te: 0.0000 0.0000 0.5000
N: 0.0000 0.5000 0.0000
N: 0.5000 0.0000 0.0000

SrCr2W: optimized geometry, PBE-GGA.

- Energy relative to the elements: 1354 meV/atom
- Size of the total moment: 2.28 μB per formula unit

Lattice parameters (Å, degrees): 3.2930 4.5358 5.0905 90.00 90.00 90.00
Element x y z (fractional)
Sr: 0.0000 0.0000 0.0000
Cr: 0.0000 0.5000 0.5000
Cr: 0.5000 0.5000 0.0000
W: 0.5000 0.0000 0.5000

RePbAu: optimized geometry, PBE-GGA.

- Energy relative to the elements: 845 meV/atom
- Size of the total moment: 0.02 μB per formula unit

Lattice parameters (Å, degrees): 2.9673 2.9673 14.4857 90.00 90.00 90.00
Element x y z (fractional)
Re: 0.0000 0.0000 0.0000
Re: 0.5000 0.5000 0.5000
Pb: 0.0000 0.0000 0.6583
Pb: 0.5000 0.5000 0.1583
Au: 0.0000 0.0000 0.3740
Au: 0.5000 0.5000 0.8740